(1)
Material: Pu3Sb4Pd4
Method: DFT, PBE
State: relaxed

a b c (Å): 8.500 8.500 8.500
angles (deg): 149.02 128.54 61.29
Element x y z (fractional)
Pu (0.000, 0.000, 0.000)
Pu (0.377, 0.877, 0.500)
Pu (0.623, 0.123, 0.500)
Sb (0.214, 0.214, 0.000)
Sb (0.292, 0.500, 0.792)
Sb (0.708, 0.500, 0.208)
Sb (0.786, 0.786, 0.000)
Pd (0.020, 0.321, 0.699)
Pd (0.378, 0.679, 0.699)
Pd (0.622, 0.321, 0.301)
Pd (0.980, 0.679, 0.301)

ρ ... 11.1 g cm⁻³
E_tot ... -7.964 eV/atom


(2)
Material: PuScPd
Method: DFT, PBE
State: relaxed

a b c (Å): 4.721 4.721 4.721
angles (deg): 60.00 60.00 60.00
Element x y z (fractional)
Pu (0.000, 0.000, 0.000)
Sc (0.500, 0.500, 0.500)
Pd (0.250, 0.250, 0.250)

Distance to the lowest polymorph of the same formula ... 0.000 kcal/mol of atoms
ρ ... 8.8 g cm⁻³
E_tot ... -8.790 eV/atom
Calculated formation energy ... -0.74 eV per formula unit


(3)
Material: PuSc2Pd3
Method: DFT, PBE
State: relaxed

a b c (Å): 3.306 3.306 10.606
angles (deg): 90.00 90.00 90.00
Element x y z (fractional)
Pu (0.000, 0.000, 0.000)
Sc (0.000, 0.000, 0.340)
Sc (0.000, 0.000, 0.660)
Pd (0.500, 0.500, 0.198)
Pd (0.500, 0.500, 0.500)
Pd (0.500, 0.500, 0.802)

ρ ... 9.4 g cm⁻³
E_tot ... -7.837 eV/atom
Calculated formation energy ... -4.71 eV per formula unit


(4)
Material: TbPuPd
Method: DFT, PBE
State: relaxed

a b c (Å): 4.883 4.883 4.883
angles (deg): 60.00 60.00 60.00
Element x y z (fractional)
Tb (0.000, 0.000, 0.000)
Pu (0.500, 0.500, 0.500)
Pd (0.750, 0.750, 0.750)

Distance to the lowest polymorph of the same formula ... 0.000 kcal/mol of atoms
ρ ... 10.3 g cm⁻³
E_tot ... -8.271 eV/atom
Calculated formation energy ... -0.88 eV per formula unit


(5)
Material: PuThPd
Method: DFT, PBE
State: relaxed

a b c (Å): 4.751 4.751 4.751
angles (deg): 60.00 60.00 60.00
Element x y z (fractional)
Pu (0.000, 0.000, 0.000)
Th (0.750, 0.750, 0.750)
Pd (0.250, 0.250, 0.250)

ρ ... 12.8 g cm⁻³
E_tot ... -8.906 eV/atom
Calculated formation energy ... 0.00 eV per formula unit


(6)
Material: PuThPd6
Method: DFT, PBE
State: relaxed

a b c (Å): 4.179 4.179 8.367
angles (deg): 90.00 90.00 90.00
Element x y z (fractional)
Pu (0.000, 0.000, 0.000)
Th (0.000, 0.000, 0.500)
Pd (0.000, 0.500, 0.251)
Pd (0.000, 0.500, 0.749)
Pd (0.500, 0.000, 0.251)
Pd (0.500, 0.000, 0.749)
Pd (0.500, 0.500, 0.000)
Pd (0.500, 0.500, 0.500)

ρ ... 12.7 g cm⁻³
E_tot ... -7.380 eV/atom
Calculated formation energy ... -6.45 eV per formula unit


Question: What is the E_tot in the third record?
Answer: -7.837 eV/atom


Please write out number 5 again, unchanged.
Material: PuThPd
Method: DFT, PBE
State: relaxed

a b c (Å): 4.751 4.751 4.751
angles (deg): 60.00 60.00 60.00
Element x y z (fractional)
Pu (0.000, 0.000, 0.000)
Th (0.750, 0.750, 0.750)
Pd (0.250, 0.250, 0.250)

ρ ... 12.8 g cm⁻³
E_tot ... -8.906 eV/atom
Calculated formation energy ... 0.00 eV per formula unit